Entry 1:
Computed, not measured: a geometry-optimized Dy4HgAu structure at the PBE-GGA level of DFT.

Cell lengths 3.7579, 8.4487, 20.6168 Å; angles 90.00, 90.00, 90.00 degrees
Closest atoms and distances in Å follow each position.
Sites, in units of the cell vectors:
Dy: 0.7500 0.5274 0.5684  2 Au 2.93
Dy: 0.7500 0.8495 0.4414  3 Au 3.01-3.04, 2 Hg 3.30
Dy: 0.7500 0.8724 0.6639  2 Au 3.04, 2 Hg 3.15-3.32
Dy: 0.2500 0.4726 0.4316  2 Au 2.93
Dy: 0.2500 0.0418 0.7872  4 Hg 3.21-3.30, 6 Dy 3.47-3.52
Dy: 0.7500 0.9582 0.2128  4 Hg 3.21-3.30, 6 Dy 3.47-3.52
Au: 0.7500 0.2087 0.4473  7 Dy 2.93-3.04
Dy: 0.2500 0.9726 0.0684  2 Au 2.93
Dy: 0.2500 0.1276 0.3361  2 Au 3.04, 2 Hg 3.15-3.32
Hg: 0.7500 0.7414 0.8155  9 Dy 3.15-3.40
Hg: 0.7500 0.2414 0.6845  9 Dy 3.15-3.40
Hg: 0.2500 0.7586 0.3155  9 Dy 3.15-3.40
Dy: 0.7500 0.4582 0.2872  4 Hg 3.21-3.30, 6 Dy 3.47-3.52
Dy: 0.7500 0.3495 0.0586  3 Au 3.01-3.04, 2 Hg 3.30
Hg: 0.2500 0.2586 0.1845  9 Dy 3.15-3.40
Dy: 0.7500 0.3724 0.8361  2 Au 3.04, 2 Hg 3.15-3.32
Dy: 0.2500 0.1505 0.5586  3 Au 3.01-3.04, 2 Hg 3.30
Dy: 0.2500 0.5418 0.7128  4 Hg 3.21-3.30, 6 Dy 3.47-3.52
Au: 0.2500 0.2913 0.9473  7 Dy 2.93-3.04
Dy: 0.2500 0.6276 0.1639  2 Au 3.04, 2 Hg 3.15-3.32
Dy: 0.2500 0.6505 0.9414  3 Au 3.01-3.04, 2 Hg 3.30
Au: 0.7500 0.7087 0.0527  7 Dy 2.93-3.04
Dy: 0.7500 0.0274 0.9316  2 Au 2.93
Au: 0.2500 0.7913 0.5527  7 Dy 2.93-3.04

Values from the calculation:
Total energy ... -98.283 eV per cell
Space-group type ... Pnma
Formation energy ... -0.43 eV/atom
Volume ... 27.3 Å³/atom
Excess energy over the best structure of this formula in the dataset ... 0 meV per atom

Entry 2:
Computed, not measured: a geometry-optimized DyHgAu2 structure at the PBE-GGA level of DFT.

Cell lengths 3.6579, 3.6579, 6.5965 Å; angles 90.00, 90.00, 90.00 degrees
Closest atoms and distances in Å follow each position.
Sites, in units of the cell vectors:
Au: 0.0000 0.0000 0.2433  4 Dy 3.04, 4 Hg 3.09, 2 Au 3.21-3.39
Hg: 0.5000 0.5000 0.5000  8 Au 3.09, 2 Dy 3.30
Dy: 0.5000 0.5000 0.0000  8 Au 3.04, 2 Hg 3.30
Au: 0.0000 0.0000 0.7567  4 Dy 3.04, 4 Hg 3.09, 2 Au 3.21-3.39

Values from the calculation:
Total energy ... -13.624 eV per cell
Space-group type ... P4/mmm
Formation energy ... -0.54 eV/atom
Volume ... 22.1 Å³/atom

Entry 3:
Computed, not measured: a geometry-optimized DyHgAu structure at the PBE-GGA level of DFT.

Cell lengths 4.7982, 4.7982, 4.7982 Å; angles 60.00, 60.00, 60.00 degrees
Closest atoms and distances in Å follow each position.
Sites, in units of the cell vectors:
Hg: 0.5000 0.5000 0.5000  4 Au 2.94
Au: 0.2500 0.2500 0.2500  4 Hg 2.94, 4 Dy 2.94
Dy: 0.0000 0.0000 0.0000  4 Au 2.94

Values from the calculation:
Total energy ... -9.729 eV per cell
Space-group type ... F-43m
Formation energy ... -0.52 eV/atom
Volume ... 26.0 Å³/atom

Entry 4:
Computed, not measured: a geometry-optimized DyHgAu structure at the PBE-GGA level of DFT.

Cell lengths 3.3975, 4.8259, 4.8259 Å; angles 120.00, 90.00, 90.00 degrees
Closest atoms and distances in Å follow each position.
Sites, in units of the cell vectors:
Hg: 0.1664 0.0000 0.0000  3 Au 2.79
Au: 0.1669 0.3333 0.6667  3 Hg 2.79
Dy: 0.6666 0.6667 0.3333  6 Au 3.26, 6 Hg 3.26, 2 Dy 3.40

Values from the calculation:
Total energy ... -9.922 eV per cell
Space-group type ... P-6m2
Formation energy ... -0.58 eV/atom
Volume ... 22.8 Å³/atom

Entry 5:
Computed, not measured: a geometry-optimized Dy3Hg2Au6 structure at the PBE-GGA level of DFT.

Cell lengths 4.1427, 4.1427, 14.8013 Å; angles 98.04, 98.04, 90.00 degrees
Closest atoms and distances in Å follow each position.
Sites, in units of the cell vectors:
Dy: 0.7957 0.7957 0.5914  9 Au 2.95-3.19
Au: 0.1205 0.6205 0.2411  2 Hg 2.91, 6 Au 2.93-2.95, 2 Dy 3.19
Au: 0.3795 0.8795 0.7589  2 Hg 2.91, 6 Au 2.93-2.95, 2 Dy 3.19
Dy: 0.0000 0.0000 0.0000  8 Hg 3.27
Hg: 0.5502 0.5502 0.1005  4 Au 2.91, 1 Hg 2.92
Au: 0.3073 0.3073 0.6146  4 Au 2.95, 5 Dy 2.95-2.99
Dy: 0.2043 0.2043 0.4086  9 Au 2.95-3.19
Au: 0.6205 0.1205 0.2411  2 Hg 2.91, 6 Au 2.93-2.95, 2 Dy 3.19
Hg: 0.4498 0.4498 0.8995  4 Au 2.91, 1 Hg 2.92
Au: 0.8795 0.3795 0.7589  2 Hg 2.91, 6 Au 2.93-2.95, 2 Dy 3.19
Au: 0.6927 0.6927 0.3854  4 Au 2.95, 5 Dy 2.95-2.99

Values from the calculation:
Total energy ... -39.486 eV per cell
Space-group type ... I4/mmm
Formation energy ... -0.49 eV/atom
Volume ... 22.6 Å³/atom

Entry 6:
Computed, not measured: a geometry-optimized Dy8HgAu2 structure at the PBE-GGA level of DFT.

Cell lengths 5.1123, 7.0052, 9.3337 Å; angles 105.74, 105.89, 90.00 degrees
Closest atoms and distances in Å follow each position.
Sites, in units of the cell vectors:
Dy: 0.3295 0.0256 0.6590  3 Au 2.85-3.15, 1 Hg 3.12
Dy: 0.5922 0.4634 0.1845  1 Hg 3.20, 2 Au 3.30, 6 Dy 3.46-3.50
Au: 0.1846 0.7232 0.3692  5 Dy 2.85-3.15
Dy: 0.1997 0.3253 0.3994  1 Au 2.87
Dy: 0.6705 0.9744 0.3410  3 Au 2.85-3.15, 1 Hg 3.12
Hg: 0.5000 0.0000 0.0000  8 Dy 3.12-3.20
Dy: 0.9694 0.2315 0.9389  1 Au 2.87, 2 Hg 3.16
Dy: 0.0306 0.7685 0.0611  1 Au 2.87, 2 Hg 3.16
Dy: 0.4078 0.5366 0.8155  1 Hg 3.20, 2 Au 3.30, 6 Dy 3.46-3.50
Dy: 0.8003 0.6747 0.6006  1 Au 2.87
Au: 0.8154 0.2768 0.6308  5 Dy 2.85-3.15

Values from the calculation:
Total energy ... -48.050 eV per cell
Space-group type ... C2/m
Formation energy ... -0.40 eV/atom
Volume ... 28.0 Å³/atom
Excess energy over the best structure of this formula in the dataset ... 0 meV per atom

Entry 7:
Computed, not measured: a geometry-optimized Dy6Hg5Au structure at the PBE-GGA level of DFT.

Cell lengths 5.2163, 7.4336, 8.2637 Å; angles 90.00, 71.60, 90.00 degrees
Closest atoms and distances in Å follow each position.
Sites, in units of the cell vectors:
Hg: 0.6711 0.0000 0.6578  8 Dy 3.19-3.23
Dy: 0.1630 0.2473 0.6740  1 Au 3.15, 7 Hg 3.17-3.25
Hg: 0.0000 0.5000 0.0000  8 Dy 3.17-3.24
Au: 0.0000 0.0000 0.0000  8 Dy 3.15-3.17
Hg: 0.3289 0.0000 0.3422  8 Dy 3.19-3.23
Hg: 0.6681 0.5000 0.6639  8 Dy 3.22-3.26
Dy: 0.8370 0.7527 0.3260  1 Au 3.15, 7 Hg 3.17-3.25
Dy: 0.5000 0.7580 0.0000  2 Au 3.17, 6 Hg 3.23-3.26
Hg: 0.3319 0.5000 0.3361  8 Dy 3.22-3.26
Dy: 0.8370 0.2473 0.3260  1 Au 3.15, 7 Hg 3.17-3.25
Dy: 0.5000 0.2420 0.0000  2 Au 3.17, 6 Hg 3.23-3.26
Dy: 0.1630 0.7527 0.6740  1 Au 3.15, 7 Hg 3.17-3.25

Values from the calculation:
Total energy ... -38.885 eV per cell
Space-group type ... Cmmm
Formation energy ... -0.54 eV/atom
Volume ... 25.3 Å³/atom

Entry 8:
Computed, not measured: a geometry-optimized Dy2Hg3Au2 structure at the PBE-GGA level of DFT.

Cell lengths 3.6141, 4.5420, 10.4731 Å; angles 102.52, 90.00, 90.00 degrees
Closest atoms and distances in Å follow each position.
Sites, in units of the cell vectors:
Hg: 0.5000 0.5720 0.1440  1 Au 2.82, 1 Hg 2.94
Dy: 0.0000 0.1654 0.3308  6 Au 3.04-3.12, 1 Hg 3.38
Au: 0.5000 0.2898 0.5797  2 Au 2.80, 1 Hg 2.82, 6 Dy 3.04-3.12
Dy: 0.0000 0.8346 0.6692  6 Au 3.04-3.12, 1 Hg 3.38
Hg: 0.5000 0.4280 0.8560  1 Au 2.82, 1 Hg 2.94
Au: 0.5000 0.7102 0.4203  2 Au 2.80, 1 Hg 2.82, 6 Dy 3.04-3.12
Hg: 0.0000 0.0000 0.0000  10 Hg 3.25-3.61, 2 Dy 3.38

Values from the calculation:
Total energy ... -20.218 eV per cell
Space-group type ... Cmmm
Formation energy ... -0.51 eV/atom
Volume ... 24.0 Å³/atom

Number 1: N(E_F) 27.50 states/eV per cell. Number 2: N(E_F) 1.74 states/eV per cell. Number 3: N(E_F) 3.43 states/eV per cell. Number 4: N(E_F) 2.08 states/eV per cell. Number 5: N(E_F) 4.70 states/eV per cell. Number 6: N(E_F) 9.76 states/eV per cell. Number 7: N(E_F) 10.47 states/eV per cell. Number 8: N(E_F) 3.46 states/eV per cell.